Record 1
Here is K2NpBeO4 after structural relaxation from Alexandria. Energies are from PBE-GGA.

a b c (Å): 5.9240 6.9682 6.4454
angles (deg): 90.00 90.00 90.00
Last column: nearest neighbours and their distance in Å.
Space group Pmmn (No. 59, origin choice 2)
Unique sites:
K  0.2500  0.0090  0.2322  7 O 2.84-2.97
Np  0.2500  0.2500  0.7026  4 O 2.06-2.11
Be  0.2500  0.7500  0.6545  4 O 1.69-1.70
O  0.0202  0.7500  0.4990  1 Be 1.69
O  0.2500  0.5420  0.7915  1 Be 1.70

Fermi-level density of states = 13.1 states/eV/cell

=====

Record 2
Here is K2NpBeO6 after structural relaxation from Alexandria. Energies are from PBE-GGA.

a b c (Å): 7.9409 7.9409 7.9409
angles (deg): 90.00 90.00 90.00
Last column: nearest neighbours and their distance in Å.
Space group Fm-3m (No. 225)
Unique sites:
K  0.2500  0.2500  0.2500  12 O 2.81
Np  0.0000  0.0000  0.0000  6 O 2.03
Be  0.0000  0.0000  0.5000  6 O 1.94
O  0.0000  0.0000  0.2559  1 Be 1.94, 1 Np 2.03

Fermi-level density of states = 26.2 states/eV/cell

=====

Record 3
Here is K3NpBe2O6 after structural relaxation from Alexandria. Energies are from PBE-GGA.

a b c (Å): 5.6872 5.6872 6.9396
angles (deg): 90.00 90.00 120.00
Last column: nearest neighbours and their distance in Å.
Space group P-3m1 (No. 164)
Unique sites:
K  0.0000  0.0000  0.0000  6 O 2.77
K  0.3333  0.6667  0.7368  6 O 2.87, 1 Be 2.96
Np  0.0000  0.0000  0.5000  6 O 2.17
Be  0.3333  0.6667  0.3097  3 O 1.55
O  0.1757  0.3513  0.3124  1 Be 1.55

Fermi-level density of states = 7.7 states/eV/cell

=====

Record 4
Here is K2NpBe2O6 after structural relaxation from Alexandria. Energies are from PBE-GGA.

a b c (Å): 5.5756 5.5756 6.4357
angles (deg): 90.00 90.00 120.00
Last column: nearest neighbours and their distance in Å.
Space group P-3 (No. 147)
Unique sites:
K  0.3333  0.6667  0.3256  6 O 2.86-2.99, 1 Be 3.20
Np  0.0000  0.0000  0.0000  6 O 2.08
Be  0.3333  0.6667  0.8226  3 O 1.54
O  0.1627  0.8139  0.8105  1 Be 1.54

=====

Record 5
Here is KNpBe2O6 after structural relaxation from Alexandria. Energies are from PBE-GGA.

a b c (Å): 9.6167 9.8983 5.7465
angles (deg): 90.00 108.22 90.00
Last column: nearest neighbours and their distance in Å.
Space group C2/c (No. 15)
Unique sites:
K  0.0000  0.0853  0.2500  6 O 2.59-2.75
Np  0.0000  0.3050  0.7500  4 O 1.89-2.06
Be  0.2065  0.4275  0.1459  4 O 1.62-1.74
O  0.0734  0.3117  0.0963  1 Be 1.68
O  0.1388  0.1500  0.7331  1 Be 1.62
O  0.1745  0.4587  0.8350  2 Be 1.66-1.74

=====

Record 6
Here is KNpBeS3 after structural relaxation from Alexandria. Energies are from PBE-GGA.

a b c (Å): 8.9691 3.8720 9.0885
angles (deg): 90.00 107.18 90.00
Last column: nearest neighbours and their distance in Å.
Space group P2_1/m (No. 11)
Unique sites:
K  0.1964  0.2500  0.2293  7 S 3.22-3.41
Np  0.3335  0.7500  0.8469  6 S 2.72-2.87
Be  0.0767  0.2500  0.6023  4 S 2.07-2.27
S  0.1122  0.2500  0.8380  1 Be 2.07
S  0.1632  0.7500  0.5254  3 Be 2.12-2.27
S  0.4542  0.7500  0.1592  3 Np 2.72-2.73

Fermi-level density of states = 18.6 states/eV/cell

=====

Record 7
Here is K2NpBeS4 after structural relaxation from Alexandria. Energies are from PBE-GGA.

a b c (Å): 10.3547 11.7867 8.0991
angles (deg): 90.00 115.17 90.00
Last column: nearest neighbours and their distance in Å.
Space group C2/c (No. 15)
Unique sites:
K  0.0000  0.0000  0.0000  4 S 2.98-3.19
K  0.2500  0.2500  0.0000  6 S 3.16-3.38
Np  0.0000  0.5000  0.0000  6 S 2.62-2.88
Be  0.2500  0.2500  0.5000  2 S 1.94
S  0.0786  0.2635  0.5400  1 Be 1.94
S  0.1825  0.4981  0.3536  2 Np 2.62-2.68

Fermi-level density of states = 30.0 states/eV/cell

=====

Record 8
Here is K3Np2BeS6 after structural relaxation from Alexandria. Energies are from PBE-GGA.

a b c (Å): 6.8121 11.7903 7.6719
angles (deg): 90.00 107.30 90.00
Last column: nearest neighbours and their distance in Å.
Space group C2/m (No. 12)
Unique sites:
K  0.0000  0.0000  0.0000  6 S 3.16-3.31
K  0.0000  0.3315  0.0000  6 S 3.16-3.30
Np  0.0000  0.1665  0.5000  6 S 2.73
Be  0.0000  0.5000  0.5000  6 S 2.53-2.55
S  0.2190  0.3446  0.6903  1 Be 2.53, 2 Np 2.73
S  0.2480  0.5000  0.3086  1 Be 2.55, 2 Np 2.73

Fermi-level density of states = 36.8 states/eV/cell

=====

Computed volume, in the same sequence as the records: 16.6, 12.5, 16.2, 15.8, 13.0, 25.1, 28.0, 24.5 Å³ per atom.
Computed total DFT energy (no corrections), in the same sequence as the records: -6.996, -6.861, -6.781, -7.188, -7.514, -6.243, -5.454, -5.945 eV/atom.